First-principles (PBE) data for a relaxed structure of CsBi2Sb2, as listed in Alexandria via LeMat-Bulk.

* total energy: -70.1 eV per cell
* V: 40.54 A^3/atom
* crystal system: orthorhombic
* offset from the most stable computed form: 0.29 eV per formula unit
* ΔE_f (raw): -132 meV per atom
* magnetization: 0.00 μB per formula unit

Geometry as CIF:
```
data_CsBi2Sb2
_chemical_formula_sum 'Cs4 Bi8 Sb8'
_symmetry_space_group_name_H-M 'P n m a'
_symmetry_Int_Tables_number 62
_cell_length_a 10.6344
_cell_length_b 5.8581
_cell_length_c 13.0149
_cell_angle_alpha 90.00
_cell_angle_beta 90.00
_cell_angle_gamma 90.00
loop_
_symmetry_equiv_pos_as_xyz
'x,y,z'
'-x,-y,-z'
'-x+1/2,-y,z+1/2'
'x+1/2,y,-z+1/2'
'x+1/2,-y+1/2,-z+1/2'
'-x+1/2,y+1/2,z+1/2'
'-x,y+1/2,-z'
'x,-y+1/2,z'
loop_
_atom_site_label
_atom_site_type_symbol
_atom_site_fract_x
_atom_site_fract_y
_atom_site_fract_z
_atom_site_occupancy
Cs1 Cs 0.2492 0.2500 0.1535 1
Bi1 Bi 0.0621 0.2500 0.8574 1
Bi2 Bi 0.1116 0.2500 0.4445 1
Sb1 Sb 0.0759 0.7500 0.3572 1
Sb2 Sb 0.1072 0.7500 0.9412 1
```